No. 1
This record from Alexandria via LeMat-Bulk describes a relaxed Tm12Os3Ru5 crystal. The functional is PBE.

Geometry as extended XYZ:
```
80
Lattice="-11.2650 -5.5920 -5.6319 -1.1904 -0.1089 13.7280 1.3645 12.9907 -4.3893" Properties=species:S:1:pos:R:3 pbc="T T T"
Os -8.7245 -2.6110 0.3755
Os -10.5790 -3.3508 4.8195
Os -4.2643 5.9405 5.4408
Os -2.4533 3.4599 -1.3380
Os -9.6645 -1.6589 -4.3092
Os -4.6272 1.0826 5.3707
Os -6.4636 6.2072 -1.6639
Os -1.4263 8.9488 8.0161
Os -8.6374 3.8299 5.0448
Os -6.8265 1.3493 -1.7339
Os -0.5117 10.6407 -1.1126
Os -2.3662 9.9008 3.3314
Ru -1.5134 2.5078 3.3467
Ru -0.5952 -0.0545 6.8640
Ru 0.0000 0.0000 0.0000
Ru -4.3514 -0.5004 0.7714
Ru -4.9502 3.6994 -5.0106
Ru -6.2277 -2.8505 4.0481
Ru -1.7892 4.0908 7.9460
Ru -7.4035 7.1593 -6.3485
Ru -8.6810 0.6095 2.7101
Ru -3.3497 7.6324 -3.6879
Ru -7.7410 -0.3426 7.3948
Ru -5.5454 3.6449 1.8534
Ru -5.6325 -2.7960 -2.8159
Ru 0.6823 6.4954 -2.1947
Ru -2.4098 6.6804 0.9967
Ru -3.6872 0.1305 10.0554
Ru 0.0871 6.4409 4.6694
Ru -9.3016 3.1990 -4.2392
Ru -6.7394 7.7902 2.9355
Ru -9.5774 4.7820 0.3602
Tm -8.2083 -3.4496 -2.5370
Tm -3.7364 3.5827 3.8191
Tm -10.8133 -1.7512 -1.4590
Tm -6.2406 -1.4446 -0.5924
Tm -6.6433 5.3624 3.5811
Tm -11.1997 -3.1242 1.8169
Tm -4.0352 3.3553 7.0888
Tm -1.8041 1.0873 11.4188
Tm -6.7457 5.4239 6.8702
Tm -8.5911 -1.8218 3.3438
Tm -8.8058 0.4575 0.2038
Tm -10.3254 -4.1175 7.7859
Tm -1.5284 6.3100 6.7937
Tm -4.5875 -0.9010 3.2421
Tm -1.6583 4.2302 10.4528
Tm -3.9171 5.2550 -3.0994
Tm -0.9807 2.3181 0.8971
Tm -5.8107 -1.5769 6.3598
Tm -9.9887 -1.0862 6.5488
Tm -1.7880 0.2897 4.4978
Tm -4.2901 7.9231 7.5706
Tm -6.7236 1.9469 3.5471
Tm -10.6034 1.8552 3.7459
Tm -7.9283 7.3606 -3.8981
Tm -4.3672 5.3430 0.1598
Tm -0.4873 5.4346 -0.0390
Tm -3.1624 -0.0707 7.6050
Tm -1.1021 8.3761 -2.8420
Tm -6.8007 -0.6333 -3.8638
Tm -9.3028 7.0001 -0.7910
Tm -5.2800 8.8667 -2.6530
Tm -7.1737 2.0348 6.8062
Tm -10.1100 4.9717 2.8098
Tm -9.4324 3.0596 -6.7460
Tm -9.5623 0.9798 -3.0869
Tm -0.7654 11.4073 -4.0791
Tm -6.5032 8.1908 0.4648
Tm -4.3451 1.8659 -3.1634
Tm -2.4997 9.1116 0.3630
Tm -2.2850 6.8323 3.5031
Tm -9.2867 6.2025 -7.7120
Tm -7.0555 3.9345 -3.3820
Tm -4.8502 8.7344 4.2993
Tm 0.1089 10.4140 1.8899
Tm -4.4475 1.9274 0.1257
Tm -0.2774 9.0410 5.1659
Tm -7.3544 3.7071 -0.1122
Tm -2.8824 10.7394 6.2438
```

- E: -6.44 eV per atom

No. 2
This record from Alexandria via LeMat-Bulk describes a relaxed HfIrS2Cl crystal. The functional is PBE.

Geometry as extended XYZ:
```
5
Lattice="4.9542 0.0000 0.0000 0.0000 4.9542 0.0000 0.0000 0.0000 4.7968" Properties=species:S:1:pos:R:3 pbc="T T T"
S 0.0000 2.4771 0.0000
S 2.4771 0.0000 0.0000
Ir 2.4771 2.4771 2.3984
Hf 0.0000 0.0000 0.0000
Cl 0.0000 0.0000 2.3984
```

- E: -5.52 eV per atom
- Formation energy from raw total energies: 262 meV per atom

No. 3
This record from Alexandria via LeMat-Bulk describes a relaxed Cr2FeCu crystal. The functional is PBE.

Geometry as extended XYZ:
```
4
Lattice="2.3994 0.0000 0.0000 0.0000 3.8033 0.0000 0.0000 0.0000 5.1030" Properties=species:S:1:pos:R:3 pbc="T T T"
Cr 0.0000 0.0000 5.0969
Cr 1.1997 1.9016 1.2830
Cu 0.0000 0.0000 2.5663
Fe 1.1997 1.9016 3.8114
```

- E: -7.69 eV per atom

No. 4
This record from Alexandria via LeMat-Bulk describes a relaxed LiCaPr2Se4 crystal. The functional is PBE.

Geometry as extended XYZ:
```
8
Lattice="-1.2181 -2.7744 2.9294 5.7588 -4.1632 -1.5482 5.6020 1.9597 4.1853" Properties=species:S:1:pos:R:3 pbc="T T T"
Li 5.6804 -1.1017 1.3186
Ca 2.2704 -3.4688 0.6906
Pr 5.6020 1.9597 4.1853
Pr 2.1920 -0.4074 3.5574
Se 8.4576 -1.6143 1.9880
Se 1.6851 -3.3635 3.5787
Se 5.0881 -3.9673 1.3902
Se 5.0546 -1.0106 4.1764
```

- E: -5.21 eV per atom
- Formation energy from raw total energies: -1787 meV per atom

No. 5
This record from Alexandria via LeMat-Bulk describes a relaxed K2RbMgCl crystal. The functional is PBE.

Geometry as extended XYZ:
```
5
Lattice="6.1801 0.0000 0.0000 0.0000 6.1801 0.0000 0.0000 0.0000 6.4592" Properties=species:S:1:pos:R:3 pbc="T T T"
K 0.0000 3.0901 0.0000
K 3.0901 0.0000 0.0000
Mg 3.0901 3.0901 3.2296
Rb 0.0000 0.0000 3.2296
Cl 0.0000 0.0000 0.0000
```

- E: -1.91 eV per atom
- Formation energy from raw total energies: -590 meV per atom

No. 6
This record from Alexandria via LeMat-Bulk describes a relaxed AlVCr crystal. The functional is PBE.

Geometry as extended XYZ:
```
3
Lattice="2.5906 0.0000 0.0000 0.0000 4.1976 0.0000 0.0000 -2.0988 3.6352" Properties=species:S:1:pos:R:3 pbc="T T T"
Cr 0.1153 0.0000 0.0000
Al 1.7543 0.0000 2.4235
V 0.7210 2.0988 1.2117
```

- E: -7.66 eV per atom

No. 7
This record from Alexandria via LeMat-Bulk describes a relaxed LaRe4 crystal. The functional is PBE.

Geometry as extended XYZ:
```
5
Lattice="5.0263 -2.2770 -0.0022 5.0263 2.2770 -0.0022 3.9964 0.0000 3.8048" Properties=species:S:1:pos:R:3 pbc="T T T"
La 0.0000 0.0000 0.0000
Re 2.6858 0.0000 0.7265
Re 5.7280 0.0000 1.5495
Re 8.3209 0.0000 2.2509
Re 11.3632 0.0000 3.0738
```

- E: -10.20 eV per atom

No. 8
This record from Alexandria via LeMat-Bulk describes a relaxed LiNdPd crystal. The functional is PBE.

Geometry as extended XYZ:
```
3
Lattice="4.7560 0.0000 0.0000 2.3780 4.1188 0.0000 2.3780 1.3729 3.8833" Properties=species:S:1:pos:R:3 pbc="T T T"
Nd 4.7560 2.7459 1.9416
Pd 2.3780 1.3729 0.9708
Li 0.0000 0.0000 0.0000
```

- E: -4.32 eV per atom